1.
Material: Y5ScSn4
Method: DFT, GGA-PBE
State: relaxed

Unit cell a=9.5450 b=9.5450 c=9.3024 alpha=104.78 beta=104.78 gamma=22.02
Atoms (fractional coordinates):
Y1 0.0000 0.0000 0.0000
Y2 0.3267 0.3267 0.1359
Y3 0.3312 0.3312 0.6944
Y4 0.6688 0.6688 0.3056
Y5 0.6733 0.6733 0.8641
Sc1 0.0000 0.0000 0.5000
Sn1 0.1630 0.1630 0.5822
Sn2 0.4981 0.4981 0.2552
Sn3 0.5019 0.5019 0.7448
Sn4 0.8370 0.8370 0.4178

The total moment is 0.00 μB/f.u. Its total DFT energy (no corrections) is -0.2136 Ha/atom.

2.
Material: Y3ScSn2
Method: DFT, GGA-PBE
State: relaxed

Unit cell a=9.4445 b=9.4445 c=9.4445 alpha=140.73 beta=56.68 gamma=140.82
Atoms (fractional coordinates):
Y1 0.1735 0.2489 0.4224
Y2 0.2500 0.2500 0.0000
Y3 0.3265 0.7489 0.0754
Y4 0.6735 0.2511 0.9246
Y5 0.7500 0.7500 0.0000
Y6 0.8265 0.7511 0.5776
Sc1 0.2500 0.7500 0.5000
Sc2 0.7500 0.2500 0.5000
Sn1 0.1357 0.7418 0.8774
Sn2 0.3643 0.2418 0.6061
Sn3 0.6357 0.7582 0.3939
Sn4 0.8643 0.2582 0.1226

The total moment is 0.00 μB/f.u. Its total DFT energy (no corrections) is -0.2297 Ha/atom.

3.
Material: Y2ScSn
Method: DFT, GGA-PBE
State: relaxed

Unit cell a=11.7767 b=11.7767 c=11.7767 alpha=16.91 beta=16.91 gamma=16.91
Atoms (fractional coordinates):
Y1 0.0896 0.0896 0.0896
Y2 0.9104 0.9104 0.9104
Sc1 0.5000 0.5000 0.5000
Sn1 0.0000 0.0000 0.0000

The total moment is 0.00 μB/f.u. Its total DFT energy (no corrections) is -0.2115 Ha/atom.

4.
Material: YScZnSn
Method: DFT, GGA-PBE
State: relaxed

Unit cell a=5.0521 b=5.0521 c=5.0521 alpha=60.00 beta=60.00 gamma=60.00
Atoms (fractional coordinates):
Y1 0.0000 0.0000 0.0000
Sc1 0.5000 0.5000 0.5000
Zn1 0.7500 0.7500 0.7500
Sn1 0.2500 0.2500 0.2500

The total moment is 0.00 μB/f.u. Its total DFT energy (no corrections) is -0.1837 Ha/atom.

5.
Material: Sc2Zn16Sn
Method: DFT, GGA-PBE
State: relaxed

Unit cell a=6.7844 b=6.7844 c=6.7844 alpha=83.94 beta=83.94 gamma=83.94
Atoms (fractional coordinates):
Sc1 0.0000 0.0000 0.0000
Sc2 0.3204 0.3204 0.3204
Zn1 0.0074 0.0074 0.4976
Zn2 0.0074 0.4976 0.0074
Zn3 0.1504 0.6711 0.6711
Zn4 0.3089 0.3089 0.8501
Zn5 0.3089 0.8501 0.3089
Zn6 0.3428 0.6624 0.9867
Zn7 0.3428 0.9867 0.6624
Zn8 0.4976 0.0074 0.0074
Zn9 0.6624 0.3428 0.9867
Zn10 0.6624 0.9867 0.3428
Zn11 0.6711 0.1504 0.6711
Zn12 0.6711 0.6711 0.1504
Zn13 0.7701 0.7701 0.7701
Zn14 0.8501 0.3089 0.3089
Zn15 0.9867 0.3428 0.6624
Zn16 0.9867 0.6624 0.3428
Sn1 0.5621 0.5621 0.5621

The total moment is 0.00 μB/f.u. Its total DFT energy (no corrections) is -0.0770 Ha/atom.

6.
Material: Sc2ZnSn
Method: DFT, GGA-PBE
State: relaxed

Unit cell a=6.2296 b=6.2296 c=6.2296 alpha=104.62 beta=104.62 gamma=119.69
Atoms (fractional coordinates):
Sc1 0.1031 0.6250 0.9781
Sc2 0.3750 0.3531 0.4781
Sc3 0.6469 0.1250 0.0219
Sc4 0.8750 0.8969 0.5219
Zn1 0.0000 0.0000 0.0000
Zn2 0.7500 0.2500 0.5000
Sn1 0.2500 0.7500 0.5000
Sn2 0.5000 0.5000 0.0000

The total moment is 0.00 μB/f.u. Its total DFT energy (no corrections) is -0.1703 Ha/atom.

total DFT energy (no corrections) of number 2 (Y3ScSn2)? -0.2297 Ha/atom